## Ac5SnGe2 (GGA-PBE)

Data for crystalline Ac5SnGe2 at its relaxed geometry.

Calculated values
V (A^3/atom): 36.6
Raw total energy (eV per formula unit): -38.11
Calculated formation energy (eV per atom): -0.54

```
Ac5SnGe2
1.0
-2.276 3.931 8.189
2.276 -3.931 8.189
2.276 3.931 -8.189
Ac Sn Ge
5 1 2
Direct
0.000 0.000 0.000
0.131 0.358 0.772
0.414 0.642 0.772
0.586 0.358 0.228
0.869 0.642 0.228
0.500 0.000 0.500
0.194 0.194 0.000
0.806 0.806 0.000
```